## CsTaPdS5 (GGA-PBE)

Data for a relaxed structure of CsTaPdS5.

Summary:
The calculation puts the total energy at -43.89 eV per formula unit.

Cell lengths 7.128, 8.078, 9.197 Å; angles 64.21, 75.90, 80.36 degrees
Space group P-1 (No. 2)
Asymmetric unit:
1 Cs 0.160 0.335 0.318
2 Ta 0.250 0.965 0.015
3 Pd 0.446 0.690 0.326
4 S 0.056 0.796 0.974
5 S 0.172 0.909 0.299
6 S 0.302 0.131 0.720
7 S 0.359 0.586 0.610
8 S 0.458 0.234 0.966


## MgCuSnHg (GGA-PBE)

Data for a relaxed structure of MgCuSnHg.

Summary:
The calculation puts the total energy at -9.30 eV per formula unit.

Cell lengths 6.845, 6.845, 6.845 Å; angles 90.00, 90.00, 90.00 degrees
Space group F-43m (No. 216)
Asymmetric unit:
1 Mg 0.000 0.000 0.000
2 Cu 0.000 0.000 0.500
3 Sn 0.250 0.250 0.250
4 Hg 0.250 0.250 0.750


## ErCdInO3 (GGA-PBE)

Data for a relaxed structure of ErCdInO3.

Summary:
The calculation puts the total energy at -30.40 eV per formula unit.

Cell lengths 3.246, 17.592, 7.049 Å; angles 90.00, 90.00, 90.00 degrees
Space group Cmcm (No. 63)
Asymmetric unit:
1 Er 0.000 0.000 0.000
2 Cd 0.000 0.343 0.250
3 In 0.000 0.351 0.750
4 O 0.000 0.118 0.536
5 O 0.000 0.222 0.250


- What is the formula in the first record?
  CsTaPdS5